# 1
Nd4MgRu: optimized geometry, PBE-GGA.

Output
The space-group type is F-43m, No. 216. For the calculated formation energy, the calculation gives -0.1825 eV/atom. The energy above the lowest structure with this stoichiometry comes out at 0.0 kJ/mol of atoms.

Lattice parameters (Å, degrees): 9.9938 9.9938 9.9938 60.00 60.00 60.00
With the nearest neighbours (Å) after each atom.
Positions (direct):
Nd 0.0615 0.0615 0.4385  2 Ru 2.85
Nd 0.0615 0.4385 0.0615  2 Ru 2.85
Nd 0.0615 0.4385 0.4385  2 Ru 2.85
Nd 0.1884 0.1884 0.8116  2 Mg 3.44, 2 Ru 3.60, 10 Nd 3.60-3.77
Nd 0.1884 0.8116 0.1884  2 Mg 3.44, 2 Ru 3.60, 10 Nd 3.60-3.77
Nd 0.1884 0.8116 0.8116  2 Mg 3.44, 2 Ru 3.60, 10 Nd 3.60-3.77
Nd 0.2174 0.5942 0.5942  3 Ru 2.94
Nd 0.4385 0.0615 0.0615  2 Ru 2.85
Nd 0.4385 0.0615 0.4385  2 Ru 2.85
Nd 0.4385 0.4385 0.0615  2 Ru 2.85
Nd 0.5942 0.2174 0.5942  3 Ru 2.94
Nd 0.5942 0.5942 0.2174  3 Ru 2.94
Nd 0.5942 0.5942 0.5942  3 Ru 2.94
Nd 0.8116 0.1884 0.1884  2 Mg 3.44, 2 Ru 3.60, 10 Nd 3.60-3.77
Nd 0.8116 0.1884 0.8116  2 Mg 3.44, 2 Ru 3.60, 10 Nd 3.60-3.77
Nd 0.8116 0.8116 0.1884  2 Mg 3.44, 2 Ru 3.60, 10 Nd 3.60-3.77
Mg 0.5147 0.8284 0.8284  3 Mg 3.14, 3 Nd 3.44
Mg 0.8284 0.5147 0.8284  3 Mg 3.14, 3 Nd 3.44
Mg 0.8284 0.8284 0.5147  3 Mg 3.14, 3 Nd 3.44
Mg 0.8284 0.8284 0.8284  3 Mg 3.14, 3 Nd 3.44
Ru 0.3879 0.3879 0.3879  6 Nd 2.85-2.94
Ru 0.3879 0.3879 0.8364  6 Nd 2.85-2.94
Ru 0.3879 0.8364 0.3879  6 Nd 2.85-2.94
Ru 0.8364 0.3879 0.3879  6 Nd 2.85-2.94



# 2
Nd6MgRu: optimized geometry, PBE-GGA.

Output
The space-group type is P-1, No. 2. For the calculated formation energy, the calculation gives 0.1360 eV/atom.

Lattice parameters (Å, degrees): 6.9889 7.0364 7.7292 63.32 63.52 60.27
With the nearest neighbours (Å) after each atom.
Positions (direct):
Nd 0.0321 0.4190 0.2527  1 Ru 2.76
Nd 0.2066 0.9688 0.7484  1 Ru 2.76
Nd 0.4185 0.7966 0.2516  1 Ru 2.76
Nd 0.5815 0.2034 0.7484  1 Ru 2.76
Nd 0.7934 0.0312 0.2516  1 Ru 2.76
Nd 0.9679 0.5810 0.7473  1 Ru 2.76
Mg 0.5000 0.5000 0.0000  6 Nd 3.15-3.16
Ru 0.0000 0.0000 0.5000  6 Nd 2.76



# 3
Nd7Mg2Ru2: optimized geometry, PBE-GGA.

Output
The space-group type is Cmmm, No. 65. For the calculated formation energy, the calculation gives -0.0288 eV/atom.

Lattice parameters (Å, degrees): 7.0306 7.0306 7.4693 90.00 90.00 108.88
With the nearest neighbours (Å) after each atom.
Positions (direct):
Nd 0.0000 0.0000 0.0000  2 Ru 3.37
Nd 0.0000 0.5000 0.2478  2 Ru 2.80
Nd 0.0000 0.5000 0.7522  2 Ru 2.80
Nd 0.5000 0.0000 0.2478  2 Ru 2.80
Nd 0.5000 0.0000 0.7522  2 Ru 2.80
Nd 0.5000 0.5000 0.2350  2 Ru 2.93
Nd 0.5000 0.5000 0.7650  2 Ru 2.93
Mg 0.1719 0.1719 0.5000  1 Mg 2.81
Mg 0.8281 0.8281 0.5000  1 Mg 2.81
Ru 0.2948 0.7052 0.0000  6 Nd 2.80-2.93
Ru 0.7052 0.2948 0.0000  6 Nd 2.80-2.93



# 4
Nd6Mg2Ru: optimized geometry, PBE-GGA.

Output
The space-group type is P2_1/c, No. 14. For the calculated formation energy, the calculation gives -0.0199 eV/atom.

Lattice parameters (Å, degrees): 7.2580 7.3270 13.0873 90.00 122.41 90.00
With the nearest neighbours (Å) after each atom.
Positions (direct):
Nd 0.1855 0.1927 0.4781  1 Ru 2.72
Nd 0.1855 0.3073 0.9781  1 Ru 2.72
Nd 0.2893 0.7097 0.4797  1 Ru 2.73
Nd 0.2893 0.7903 0.9797  1 Ru 2.73
Nd 0.3069 0.5185 0.7483  1 Ru 2.79
Nd 0.3069 0.9815 0.2483  1 Ru 2.79
Nd 0.6931 0.0185 0.7517  1 Ru 2.79
Nd 0.6931 0.4815 0.2517  1 Ru 2.79
Nd 0.7107 0.2097 0.0203  1 Ru 2.73
Nd 0.7107 0.2903 0.5203  1 Ru 2.73
Nd 0.8145 0.6927 0.0219  1 Ru 2.72
Nd 0.8145 0.8073 0.5219  1 Ru 2.72
Mg 0.2124 0.0543 0.7496  8 Nd 3.36-3.68
Mg 0.2124 0.4457 0.2496  8 Nd 3.36-3.68
Mg 0.7876 0.5543 0.7504  8 Nd 3.36-3.68
Mg 0.7876 0.9457 0.2504  8 Nd 3.36-3.68
Ru 0.0000 0.0000 0.0000  6 Nd 2.72-2.79
Ru 0.0000 0.5000 0.5000  6 Nd 2.72-2.79



# 5
NdMgRu: optimized geometry, PBE-GGA.

Output
The space-group type is C2/m, No. 12. For the calculated formation energy, the calculation gives -0.1717 eV/atom.

Lattice parameters (Å, degrees): 5.7748 5.7748 7.2639 122.84 122.84 45.04
With the nearest neighbours (Å) after each atom.
Positions (direct):
Nd 0.0801 0.0801 0.3342  5 Ru 2.95-3.25
Nd 0.9199 0.9199 0.6658  5 Ru 2.95-3.25
Mg 0.3035 0.3035 0.9155  3 Ru 2.76-2.80, 2 Mg 3.06
Mg 0.6965 0.6965 0.0845  3 Ru 2.76-2.80, 2 Mg 3.06
Ru 0.3606 0.3606 0.3447  1 Ru 2.46
Ru 0.6394 0.6394 0.6553  1 Ru 2.46



# 6
Nd3Mg2Ru: optimized geometry, PBE-GGA.

Output
The space-group type is Cmcm, No. 63. For the calculated formation energy, the calculation gives -0.1063 eV/atom.

Lattice parameters (Å, degrees): 9.1263 9.1263 7.1427 90.00 90.00 35.31
With the nearest neighbours (Å) after each atom.
Positions (direct):
Nd 0.0033 0.9967 0.7500  2 Ru 2.77
Nd 0.3717 0.3717 0.0000  2 Ru 2.86
Nd 0.3717 0.3717 0.5000  2 Ru 2.86
Nd 0.6283 0.6283 0.0000  2 Ru 2.86
Nd 0.6283 0.6283 0.5000  2 Ru 2.86
Nd 0.9967 0.0033 0.2500  2 Ru 2.77
Mg 0.2007 0.2007 0.2500  4 Mg 3.26-3.57, 7 Nd 3.47-3.53
Mg 0.2007 0.2007 0.7500  4 Mg 3.26-3.57, 7 Nd 3.47-3.53
Mg 0.7993 0.7993 0.2500  4 Mg 3.26-3.57, 7 Nd 3.47-3.53
Mg 0.7993 0.7993 0.7500  4 Mg 3.26-3.57, 7 Nd 3.47-3.53
Ru 0.4966 0.5034 0.2500  6 Nd 2.77-2.86
Ru 0.5034 0.4966 0.7500  6 Nd 2.77-2.86



# 7
Nd4Mg5Ru2: optimized geometry, PBE-GGA.

Output
The space-group type is P2/m, No. 10. For the calculated formation energy, the calculation gives -0.1206 eV/atom.

Lattice parameters (Å, degrees): 7.8837 3.8242 9.8682 90.00 94.53 90.00
With the nearest neighbours (Å) after each atom.
Positions (direct):
Nd 0.1742 0.0000 0.3452  2 Ru 2.80
Nd 0.2062 0.0000 0.9468  4 Ru 2.99-3.02
Nd 0.7938 0.0000 0.0532  4 Ru 2.99-3.02
Nd 0.8258 0.0000 0.6548  2 Ru 2.80
Mg 0.1756 0.5000 0.6557  1 Ru 2.89, 1 Mg 3.09
Mg 0.4463 0.5000 0.1723  1 Ru 2.91, 1 Mg 3.23
Mg 0.5000 0.5000 0.5000  4 Mg 3.09-3.23
Mg 0.5537 0.5000 0.8277  1 Ru 2.91, 1 Mg 3.23
Mg 0.8244 0.5000 0.3443  1 Ru 2.89, 1 Mg 3.09
Ru 0.0757 0.5000 0.1470  6 Nd 2.80-3.02, 2 Mg 2.89-2.91, 1 Ru 3.05
Ru 0.9243 0.5000 0.8530  6 Nd 2.80-3.02, 2 Mg 2.89-2.91, 1 Ru 3.05



# 8
Nd2MgRu: optimized geometry, PBE-GGA.

Output
The space-group type is Fm-3m, No. 225. For the calculated formation energy, the calculation gives -0.0608 eV/atom. The energy above the lowest structure with this stoichiometry comes out at 7.5 kJ/mol of atoms.

Lattice parameters (Å, degrees): 5.1865 5.1865 5.1865 60.00 60.00 60.00
With the nearest neighbours (Å) after each atom.
Positions (direct):
Nd 0.2500 0.2500 0.2500  4 Mg 3.18, 4 Ru 3.18
Nd 0.7500 0.7500 0.7500  4 Mg 3.18, 4 Ru 3.18
Mg 0.0000 0.0000 0.0000  8 Nd 3.18
Ru 0.5000 0.5000 0.5000  8 Nd 3.18



Number 1: spin magnetization 0.00 μB per atom. Number 2: spin magnetization 0.00 μB per atom. Number 3: spin magnetization 0.00 μB per atom. Number 4: spin magnetization 0.00 μB per atom. Number 5: spin magnetization 0.00 μB per atom. Number 6: spin magnetization 0.00 μB per atom. Number 7: spin magnetization 0.00 μB per atom. Number 8: spin magnetization 0.00 μB per atom.